[1]
This record from Alexandria describes TlSnF3 after structural relaxation. The functional is GGA-PBEsol.

Summary:
The symmetry is Pm-3m, No. 221. For the total magnetization, the calculation gives 0.000 μB per atom. The value obtained for the density is 6.37 g cm⁻³. The calculation puts the total energy at -22.44 eV for the cell shown. The calculation puts the formation energy from raw total energies at -1.954 eV per atom.

```
TlSnF3
1.0
4.6269 0.0000 0.0000
0.0000 4.6269 0.0000
0.0000 0.0000 4.6269
Tl Sn F
1 1 3
direct
0.0000 0.0000 0.0000 Tl
0.5000 0.5000 0.5000 Sn
0.0000 0.5000 0.5000 F
0.5000 0.0000 0.5000 F
0.5000 0.5000 0.0000 F
```

[2]
This record from Alexandria describes LiZrSe2 after structural relaxation. The functional is GGA-PBEsol.

Summary:
The symmetry is Imm2, No. 44. For the total magnetization, the calculation gives 0.040 μB per atom. The value obtained for the density is 5.27 g cm⁻³. The calculation puts the total energy at -23.73 eV for the cell shown. The calculation puts the formation energy from raw total energies at -1.242 eV per atom.

```
LiZrSe2
1.0
-1.7255 1.7989 6.5026
1.7255 -1.7989 6.5026
1.7255 1.7989 -6.5026
Li Zr Se
1 1 2
direct
0.0000 0.0000 0.0000 Li
0.2737 0.7737 0.5000 Zr
0.4291 0.4291 0.0000 Se
0.6844 0.1844 0.5000 Se
```

[3]
This record from Alexandria describes Mn2CoPt after structural relaxation. The functional is GGA-PBEsol.

Summary:
The symmetry is Fm-3m, No. 225. For the total magnetization, the calculation gives 2.248 μB per atom. The formation energy from the elements is -41 meV/atom. The value obtained for the density is 11.66 g cm⁻³. The calculation puts the total energy at -34.39 eV for the cell shown.

```
Mn2CoPt
1.0
0.0000 2.9588 2.9588
2.9588 0.0000 2.9588
2.9588 2.9588 0.0000
Mn Co Pt
2 1 1
direct
0.2500 0.2500 0.2500 Mn
0.7500 0.7500 0.7500 Mn
0.0000 0.0000 0.0000 Co
0.5000 0.5000 0.5000 Pt
```

[4]
This record from Alexandria describes NaCa2Mg2As3O12 after structural relaxation. The functional is GGA-PBEsol.

Summary:
The symmetry is I4_1/acd, No. 142. For the total magnetization, the calculation gives 0.000 μB per atom. The value obtained for the density is 3.99 g cm⁻³. The calculation puts the total energy at -521.34 eV for the cell shown. The calculation puts the formation energy from raw total energies at -2.146 eV per atom.

```
NaCa2Mg2As3O12
1.0
-6.1825 6.1825 6.1846
6.1825 -6.1825 6.1846
6.1825 6.1825 -6.1846
Na Ca Mg As O
4 8 8 12 48
direct
0.1250 0.3750 0.7500 Na
0.3750 0.1250 0.2500 Na
0.6250 0.8750 0.7500 Na
0.8750 0.6250 0.2500 Na
0.1290 0.2500 0.3790 Ca
0.2500 0.3710 0.1210 Ca
0.2500 0.8710 0.6210 Ca
0.3710 0.7500 0.1210 Ca
0.6290 0.2500 0.8790 Ca
0.7500 0.1290 0.3790 Ca
0.7500 0.6290 0.8790 Ca
0.8710 0.7500 0.6210 Ca
0.0000 0.0000 0.0000 Mg
0.0000 0.0000 0.5000 Mg
0.0000 0.5000 0.0000 Mg
0.0000 0.5000 0.5000 Mg
0.5000 0.0000 0.0000 Mg
0.5000 0.0000 0.5000 Mg
0.5000 0.5000 0.0000 Mg
0.5000 0.5000 0.5000 Mg
0.1230 0.7500 0.8730 As
0.1250 0.8750 0.2500 As
0.2500 0.1230 0.8730 As
0.2500 0.6230 0.3730 As
0.3750 0.6250 0.7500 As
0.3770 0.2500 0.6270 As
0.6230 0.7500 0.3730 As
0.6250 0.3750 0.2500 As
0.7500 0.3770 0.6270 As
0.7500 0.8770 0.1270 As
0.8750 0.1250 0.7500 As
0.8770 0.2500 0.1270 As
0.0158 0.3052 0.9002 O
0.0181 0.2078 0.1226 O
0.0852 0.7078 0.6897 O
0.0950 0.8845 0.4002 O
0.1045 0.9819 0.6897 O
0.1057 0.6155 0.4111 O
0.1155 0.6057 0.9111 O
0.1155 0.0158 0.2105 O
0.1945 0.2043 0.5889 O
0.1948 0.4842 0.5998 O
0.2043 0.1155 0.0098 O
0.2078 0.5852 0.1897 O
0.2922 0.4819 0.3774 O
0.2957 0.3055 0.9111 O
0.3055 0.8943 0.0098 O
0.3052 0.9050 0.2895 O
0.3845 0.5950 0.9002 O
0.3845 0.2957 0.4902 O
0.3943 0.8055 0.5098 O
0.3955 0.0852 0.8774 O
0.4050 0.8052 0.7895 O
0.4148 0.1045 0.6226 O
0.4819 0.6045 0.1897 O
0.4842 0.3845 0.2895 O
0.5158 0.6155 0.7105 O
0.5181 0.3955 0.8103 O
0.5852 0.8955 0.3774 O
0.5950 0.1948 0.2105 O
0.6045 0.9148 0.1226 O
0.6057 0.1945 0.4902 O
0.6155 0.7043 0.5098 O
0.6155 0.4050 0.0998 O
0.6948 0.0950 0.7105 O
0.6945 0.1057 0.9902 O
0.7043 0.6945 0.0889 O
0.7078 0.5181 0.6226 O
0.7922 0.4148 0.8103 O
0.7957 0.8845 0.9902 O
0.8052 0.5158 0.4002 O
0.8055 0.7957 0.4111 O
0.8845 0.9842 0.7895 O
0.8845 0.3943 0.0889 O
0.8943 0.3845 0.5889 O
0.8955 0.0181 0.3103 O
0.9050 0.1155 0.5998 O
0.9148 0.2922 0.3103 O
0.9819 0.7922 0.8774 O
0.9842 0.6948 0.0998 O
```

[5]
This record from Alexandria describes NbFeBP2 after structural relaxation. The functional is GGA-PBEsol.

Summary:
The symmetry is P4/mmm, No. 123. For the total magnetization, the calculation gives 0.683 μB per atom. The formation energy from the elements is 1225 meV/atom. The value obtained for the density is 3.91 g cm⁻³. The calculation puts the total energy at -32.26 eV for the cell shown.

```
NbFeBP2
1.0
4.7275 0.0000 0.0000
0.0000 4.7275 0.0000
0.0000 0.0000 4.2066
Nb Fe B P
1 1 1 2
direct
0.0000 0.0000 0.0000 Nb
0.5000 0.5000 0.5000 Fe
0.0000 0.0000 0.5000 B
0.0000 0.5000 0.0000 P
0.5000 0.0000 0.0000 P
```

[6]
This record from Alexandria describes LuAlB4 after structural relaxation. The functional is GGA-PBEsol.

Summary:
The symmetry is Cmmm, No. 65. For the total magnetization, the calculation gives 0.000 μB per atom. The formation energy from the elements is -551 meV/atom. For the energy relative to the lowest polymorph listed for this composition, the calculation gives 3 meV per atom. The value obtained for the density is 7.03 g cm⁻³. The calculation puts the total energy at -80.67 eV for the cell shown.

```
LuAlB4
1.0
3.6243 -4.6097 0.0000
3.6243 4.6097 0.0000
0.0000 0.0000 3.4650
Lu Al B
2 2 8
direct
0.1998 0.8002 0.0000 Lu
0.8002 0.1998 0.0000 Lu
0.3193 0.3193 0.0000 Al
0.6807 0.6807 0.0000 Al
0.1168 0.4364 0.5000 B
0.1208 0.1208 0.5000 B
0.4065 0.5935 0.5000 B
0.4364 0.1168 0.5000 B
0.5636 0.8832 0.5000 B
0.5935 0.4065 0.5000 B
0.8792 0.8792 0.5000 B
0.8832 0.5636 0.5000 B
```

[7]
This record from Alexandria describes MnO2 after structural relaxation. The functional is GGA-PBEsol.

Summary:
The symmetry is P4_2/mnm, No. 136. For the total magnetization, the calculation gives 0.996 μB per atom. The value obtained for the density is 5.24 g cm⁻³. The calculation puts the total energy at -50.26 eV for the cell shown. The calculation puts the formation energy from raw total energies at -1.623 eV per atom.

```
MnO2
1.0
4.4008 0.0000 0.0000
0.0000 4.4008 0.0000
0.0000 0.0000 2.8441
Mn O
2 4
direct
0.0000 0.0000 0.0000 Mn
0.5000 0.5000 0.5000 Mn
0.1953 0.1953 0.5000 O
0.3047 0.6953 0.0000 O
0.6953 0.3047 0.0000 O
0.8047 0.8047 0.5000 O
```

[8]
This record from Alexandria describes ZrNiAs2 after structural relaxation. The functional is GGA-PBEsol.

Summary:
The symmetry is Fm-3m, No. 225. For the total magnetization, the calculation gives 0.000 μB per atom. The formation energy from the elements is -353 meV/atom. The value obtained for the density is 7.75 g cm⁻³. The calculation puts the total energy at -26.87 eV for the cell shown.

```
ZrNiAs2
1.0
0.0000 3.1784 3.1784
3.1784 0.0000 3.1784
3.1784 3.1784 0.0000
Zr Ni As
1 1 2
direct
0.0000 0.0000 0.0000 Zr
0.5000 0.5000 0.5000 Ni
0.2500 0.2500 0.2500 As
0.7500 0.7500 0.7500 As
```

[9]
This record from Alexandria describes TiCdNO2 after structural relaxation. The functional is GGA-PBEsol.

Summary:
The symmetry is P4/mmm, No. 123. For the total magnetization, the calculation gives 0.196 μB per atom. The value obtained for the density is 5.85 g cm⁻³. The calculation puts the total energy at -34.36 eV for the cell shown. The calculation puts the formation energy from raw total energies at -1.163 eV per atom.

```
TiCdNO2
1.0
3.8271 0.0000 0.0000
0.0000 3.8271 0.0000
0.0000 0.0000 3.9988
Ti Cd N O
1 1 1 2
direct
0.0000 0.0000 0.0000 Ti
0.5000 0.5000 0.5000 Cd
0.0000 0.0000 0.5000 N
0.0000 0.5000 0.0000 O
0.5000 0.0000 0.0000 O
```

[10]
This record from Alexandria describes SrCa2La after structural relaxation. The functional is GGA-PBEsol.

Summary:
The symmetry is P2/m, No. 10. For the total magnetization, the calculation gives 0.000 μB per atom. The formation energy from the elements is 104 meV/atom. For the energy relative to the lowest polymorph listed for this composition, the calculation gives 32 meV per atom. The value obtained for the density is 3.15 g cm⁻³. The calculation puts the total energy at -11.04 eV for the cell shown.

```
SrCa2La
1.0
3.7020 0.0000 0.0000
0.0000 6.1234 0.0000
-1.4169 0.0000 7.1421
Sr Ca La
1 2 1
direct
0.0000 0.0000 0.0000 Sr
0.2373 0.5000 0.7407 Ca
0.7627 0.5000 0.2593 Ca
0.5000 0.0000 0.5000 La
```

[11]
This record from Alexandria describes ZnAg2Au after structural relaxation. The functional is GGA-PBEsol.

Summary:
The symmetry is I4/mmm, No. 139. For the total magnetization, the calculation gives 0.000 μB per atom. The formation energy from the elements is -100 meV/atom. The value obtained for the density is 12.44 g cm⁻³. The calculation puts the total energy at -12.53 eV for the cell shown.

```
ZnAg2Au
1.0
-1.9466 1.9466 4.2091
1.9466 -1.9466 4.2091
1.9466 1.9466 -4.2091
Zn Ag Au
1 2 1
direct
0.0000 0.0000 0.0000 Zn
0.2500 0.7500 0.5000 Ag
0.7500 0.2500 0.5000 Ag
0.5000 0.5000 0.0000 Au
```

[12]
This record from Alexandria describes LiZn2Au after structural relaxation. The functional is GGA-PBEsol.

Summary:
The symmetry is P4/mmm, No. 123. For the total magnetization, the calculation gives 0.000 μB per atom. The formation energy from the elements is -268 meV/atom. For the energy relative to the lowest polymorph listed for this composition, the calculation gives 107 meV per atom. The value obtained for the density is 9.58 g cm⁻³. The calculation puts the total energy at -10.13 eV for the cell shown.

```
LiZn2Au
1.0
3.2284 0.0000 0.0000
0.0000 3.2284 0.0000
0.0000 0.0000 5.5673
Li Zn Au
1 2 1
direct
0.0000 0.0000 0.0000 Li
0.5000 0.5000 0.2400 Zn
0.5000 0.5000 0.7600 Zn
0.0000 0.0000 0.5000 Au
```